# 1
The following is a GGA-PBE calculation of a relaxed structure of GaCo2CuH, from the Alexandria database.

The space group is P4/mmm (No. 123) and the conventional cell measures 3.587, 3.587 and 3.867 Å, with angles of 90.00, 90.00 and 90.00 degrees. The inequivalent atoms are Ga at (0.000, 0.000, 0.000), Co at (0.000, 0.500, 0.500), Cu at (0.500, 0.500, 0.000) and H at (0.000, 0.000, 0.500).

# 2
The following is a GGA-PBE calculation of a relaxed structure of HoGa4CoCu2, from the Alexandria database.

The space group is R-3m (No. 166, hexagonal axes) and the conventional cell measures 4.1205, 4.1205 and 25.9739 Å, with angles of 90.00, 90.00 and 120.00 degrees. The inequivalent atoms are Ho at (0.0000, 0.0000, 0.0000), Ga at (0.0000, 0.0000, 0.1329), Ga at (0.0000, 0.0000, 0.4024), Co at (0.0000, 0.0000, 0.5000) and Cu at (0.0000, 0.0000, 0.2368).

The calculation puts the formation energy from the elements at -0.29 eV per atom.

# 3
The following is a GGA-PBE calculation of a relaxed structure of Ho2Ga4Co3Cu, from the Alexandria database.

The space group is P-4m2 (No. 115) and the conventional cell measures 3.901, 3.901 and 10.688 Å, with angles of 90.00, 90.00 and 90.00 degrees. The inequivalent atoms are Ho at (0.000, 0.500, 0.238), Ga at (0.000, 0.000, 0.000), Ga at (0.000, 0.500, 0.636), Ga at (0.500, 0.500, 0.000), Co at (0.000, 0.500, 0.860), Co at (0.500, 0.500, 0.500) and Cu at (0.000, 0.000, 0.500).

The calculation puts the formation energy from the elements at -0.39 eV per atom.

# 4
The following is a GGA-PBE calculation of a relaxed structure of Ho2Ga4CoCu3, from the Alexandria database.

The space group is P-4m2 (No. 115) and the conventional cell measures 4.005, 4.005 and 10.472 Å, with angles of 90.00, 90.00 and 90.00 degrees. The inequivalent atoms are Ho at (0.000, 0.500, 0.245), Ga at (0.000, 0.000, 0.500), Ga at (0.000, 0.500, 0.871), Ga at (0.500, 0.500, 0.500), Co at (0.500, 0.500, 0.000), Cu at (0.000, 0.000, 0.000) and Cu at (0.000, 0.500, 0.641).

The calculation puts the formation energy from the elements at -0.41 eV per atom.

# 5
The following is a GGA-PBE calculation of a relaxed structure of HoGaCoCu, from the Alexandria database.

The space group is F-43m (No. 216) and the conventional cell measures 6.327, 6.327 and 6.327 Å, with angles of 90.00, 90.00 and 90.00 degrees. The inequivalent atoms are Ho at (0.000, 0.000, 0.000), Ga at (0.000, 0.000, 0.500), Co at (0.250, 0.250, 0.250) and Cu at (0.250, 0.250, 0.750).

The calculation puts the formation energy from the elements at -0.21 eV per atom.

# 6
The following is a GGA-PBE calculation of a relaxed structure of KGa2CoCu, from the Alexandria database.

The space group is P4/mmm (No. 123) and the conventional cell measures 4.672, 4.672 and 5.557 Å, with angles of 90.00, 90.00 and 90.00 degrees. The inequivalent atoms are K at (0.000, 0.000, 0.000), Ga at (0.000, 0.500, 0.500), Co at (0.500, 0.500, 0.000) and Cu at (0.000, 0.000, 0.500).

The calculation puts the formation energy from the elements at 0.79 eV per atom.

# 7
The following is a GGA-PBE calculation of a relaxed structure of LaGa4CoCu2, from the Alexandria database.

The space group is R-3m (No. 166, hexagonal axes) and the conventional cell measures 4.1674, 4.1674 and 27.1016 Å, with angles of 90.00, 90.00 and 120.00 degrees. The inequivalent atoms are La at (0.0000, 0.0000, 0.0000), Ga at (0.0000, 0.0000, 0.1347), Ga at (0.0000, 0.0000, 0.4071), Co at (0.0000, 0.0000, 0.5000) and Cu at (0.0000, 0.0000, 0.2325).

The calculation puts the formation energy from the elements at -0.31 eV per atom.

# 8
The following is a GGA-PBE calculation of a relaxed structure of La2GaCoCu, from the Alexandria database.

The space group is P4/mmm (No. 123) and the conventional cell measures 5.256, 5.256 and 4.556 Å, with angles of 90.00, 90.00 and 90.00 degrees. The inequivalent atoms are La at (0.000, 0.500, 0.000), Ga at (0.000, 0.000, 0.500), Co at (0.000, 0.000, 0.000) and Cu at (0.500, 0.500, 0.500).

The calculation puts the formation energy from the elements at -0.18 eV per atom.

# 9
The following is a GGA-PBE calculation of a relaxed structure of LaGa3CoCu, from the Alexandria database.

The space group is Cmcm (No. 63) and the conventional cell measures 6.380, 10.947 and 6.727 Å, with angles of 90.00, 90.00 and 90.00 degrees. The inequivalent atoms are La at (0.000, 0.243, 0.250), Ga at (0.000, 0.241, 0.750), Ga at (0.245, 0.000, 0.000), Co at (0.000, 0.038, 0.750) and Cu at (0.000, 0.451, 0.750).

The calculation puts the formation energy from the elements at -0.25 eV per atom.

# 10
The following is a GGA-PBE calculation of a relaxed structure of La2GaCoCu, from the Alexandria database.

The space group is P2_1/m (No. 11) and the conventional cell measures 7.208, 4.400 and 7.566 Å, with angles of 90.00, 111.82 and 90.00 degrees. The inequivalent atoms are La at (0.130, 0.250, 0.358), La at (0.286, 0.250, 0.954), Ga at (0.435, 0.750, 0.313), Co at (0.089, 0.750, 0.080) and Cu at (0.369, 0.750, 0.645).

The calculation puts the formation energy from the elements at -0.30 eV per atom.

# 11
The following is a GGA-PBE calculation of a relaxed structure of La2Ga3CoCu12, from the Alexandria database.

The space group is R-3m (No. 166, hexagonal axes) and the conventional cell measures 6.2267, 6.2267 and 26.8296 Å, with angles of 90.00, 90.00 and 120.00 degrees. The inequivalent atoms are La at (0.0000, 0.0000, 0.1543), Ga at (0.0000, 0.5000, 0.0000), Co at (0.0000, 0.0000, 0.5000), Cu at (0.0613, 0.5306, 0.0959) and Cu at (0.0741, 0.5370, 0.6168).

The calculation puts the formation energy from the elements at 0.11 eV per atom.

# 12
The following is a GGA-PBE calculation of a relaxed structure of LaGa2CoCu, from the Alexandria database.

The space group is P4/mmm (No. 123) and the conventional cell measures 4.509, 4.509 and 4.745 Å, with angles of 90.00, 90.00 and 90.00 degrees. The inequivalent atoms are La at (0.000, 0.000, 0.000), Ga at (0.000, 0.500, 0.500), Co at (0.500, 0.500, 0.500) and Cu at (0.500, 0.500, 0.000).

The calculation puts the formation energy from the elements at -0.30 eV per atom.

# 13
The following is a GGA-PBE calculation of a relaxed structure of La2Ga6CoCu, from the Alexandria database.

The space group is Fm-3m (No. 225) and the conventional cell measures 9.348, 9.348 and 9.348 Å, with angles of 90.00, 90.00 and 90.00 degrees. The inequivalent atoms are La at (0.250, 0.250, 0.250), Ga at (0.000, 0.000, 0.248), Co at (0.000, 0.000, 0.000) and Cu at (0.000, 0.000, 0.500).

The calculation puts the formation energy from the elements at -0.33 eV per atom.

Number 1: E_tot -4.84 eV per atom. Number 2: E_tot -4.29 eV per atom. Number 3: E_tot -5.05 eV per atom. Number 4: E_tot -4.48 eV per atom. Number 5: E_tot -4.92 eV per atom. Number 6: E_tot -2.88 eV per atom. Number 7: E_tot -4.35 eV per atom. Number 8: E_tot -5.00 eV per atom. Number 9: E_tot -4.45 eV per atom. Number 10: E_tot -5.12 eV per atom. Number 11: E_tot -4.07 eV per atom. Number 12: E_tot -4.74 eV per atom. Number 13: E_tot -4.25 eV per atom.